Entry from Alexandria via LeMat-Bulk: crystalline KZrPb3 at its relaxed geometry (PBE-GGA).

Output
E above lowest polymorph ... 0.00 kJ/mol of atoms
ΔE_f ... 0.01 eV per atom

a = 5.740 Å, b = 5.740 Å, c = 5.740 Å
α = 90.00°, β = 90.00°, γ = 90.00°
Fractional positions:
1 K 0.000 0.000 0.000
2 Zr 0.500 0.500 0.500
3 Pb 0.000 0.500 0.500
4 Pb 0.500 0.000 0.500
5 Pb 0.500 0.500 0.000